DFT (PBE) results for an optimized crystal structure of UGeO4.

## Properties
For the magnetic moment, the calculation gives 2.00 μB/f.u. As for the energy relative to the elements, uncorrected: -2.40 eV/atom. As for the density of states at the Fermi level: 0.682 states/eV per atom.

Lattice parameters (Å, degrees): 5.1374 5.1374 11.1790 90.00 90.00 90.00
Closest atoms and distances in Å follow each position.
Space group I4_1/a (No. 88, origin choice 2)
Unique sites:
U  0.0000  0.2500  0.1250 [4 per cell]  8 O 2.33-2.41
Ge  0.0000  0.2500  0.6250 [4 per cell]  4 O 1.80
O  0.1588  0.4928  0.2942 [16 per cell]  1 Ge 1.80

---

DFT (PBE) results for an optimized crystal structure of LiH3Pt.

## Properties
The electronic total energy is -3.68 eV per atom. For the magnetic moment, the calculation gives 0.00 μB/f.u. As for the density of states at the Fermi level: 0.111 states/eV per atom.

Lattice parameters (Å, degrees): 2.7759 23.1742 4.7428 90.00 90.00 90.00
Closest atoms and distances in Å follow each position.
Space group Cmcm (No. 63)
Unique sites:
Li  0.0000  0.0688  0.2500 [4 per cell]  2 H 1.99
H  0.0000  0.0000  0.0000 [4 per cell]  4 Pt 1.98, 2 Li 1.99
H  0.1350  0.2876  0.7500 [8 per cell]  1 H 0.75
Pt  0.0000  0.4669  0.2500 [4 per cell]  4 H 1.98

---

DFT (PBE) results for an optimized crystal structure of Y2AsRh.

## Properties
For the magnetic moment, the calculation gives 0.00 μB/f.u. As for the density of states at the Fermi level: 0.760 states/eV per atom. For the energy of formation, the calculation gives -0.62 eV/atom.

Lattice parameters (Å, degrees): 7.4582 7.4582 6.9519 90.00 90.00 90.00
Closest atoms and distances in Å follow each position.
Space group I-42d (No. 122)
Unique sites:
Y  0.2367  0.2500  0.1250 [8 per cell]  2 Rh 2.71, 2 As 2.84
As  0.0000  0.0000  0.5000 [4 per cell]  4 Y 2.84
Rh  0.0000  0.0000  0.0000 [4 per cell]  4 Y 2.71

---

DFT (PBE) results for an optimized crystal structure of CsCeBeSe4.

## Properties
For the magnetic moment, the calculation gives 0.28 μB/f.u. As for the energy relative to the elements, uncorrected: -1.23 eV/atom. As for the density of states at the Fermi level: 0.380 states/eV per atom.

Lattice parameters (Å, degrees): 7.1623 5.7704 10.1685 90.00 103.52 90.00
Closest atoms and distances in Å follow each position.
Space group P2_1/m (No. 11)
Unique sites:
Cs  0.2441  0.2500  0.0378 [2 per cell]  7 Se 3.50-3.83
Ce  0.2638  0.2500  0.5522 [2 per cell]  8 Se 2.81-3.08
Be  0.2661  0.7500  0.3420 [2 per cell]  4 Se 2.18-2.30
Se  0.0113  0.0025  0.3052 [4 per cell]  1 Be 2.30
Se  0.3997  0.7500  0.5627 [2 per cell]  1 Be 2.22
Se  0.4555  0.7500  0.2027 [2 per cell]  1 Be 2.18